No. 1
A plane-wave DFT calculation with PBE was carried out for Ca2ScGaAu6 after structural relaxation.

Cell: 7.1891 7.1891 7.1891 Å, 60.00 60.00 60.00°
With the nearest neighbours (Å) after each atom.
Fractional positions:
Ca 0.2500 0.2500 0.2500  12 Au 3.60
Ca 0.7500 0.7500 0.7500  12 Au 3.60
Sc 0.0000 0.0000 0.0000  6 Au 2.60
Ga 0.5000 0.5000 0.5000  6 Au 2.48
Au 0.2559 0.2559 0.7441  1 Ga 2.48, 1 Sc 2.60
Au 0.2559 0.7441 0.2559  1 Ga 2.48, 1 Sc 2.60
Au 0.2559 0.7441 0.7441  1 Ga 2.48, 1 Sc 2.60
Au 0.7441 0.2559 0.2559  1 Ga 2.48, 1 Sc 2.60
Au 0.7441 0.2559 0.7441  1 Ga 2.48, 1 Sc 2.60
Au 0.7441 0.7441 0.2559  1 Ga 2.48, 1 Sc 2.60

Calculated values
- Energy of formation from the pure elements: -2.58 eV/f.u.
- Spin magnetization: 0.00 μB per formula unit
- Space group: Fm-3m

No. 2
A plane-wave DFT calculation with PBE was carried out for TiGaRhCl2 after structural relaxation.

Cell: 4.7035 4.7035 4.9594 Å, 90.00 90.00 90.00°
With the nearest neighbours (Å) after each atom.
Fractional positions:
Ti 0.0000 0.0000 0.0000  4 Rh 3.33, 8 Cl 3.42
Ga 0.5000 0.5000 0.5000  4 Cl 2.35, 2 Rh 2.48
Rh 0.5000 0.5000 0.0000  2 Ga 2.48
Cl 0.0000 0.5000 0.5000  2 Ga 2.35
Cl 0.5000 0.0000 0.5000  2 Ga 2.35

Calculated values
- Spin magnetization: 0.31 μB per formula unit
- Formation energy (no corrections): 0.526 eV per atom
- Space group: P4/mmm

No. 3
A plane-wave DFT calculation with PBE was carried out for Na3ZrMn2S6 after structural relaxation.

Cell: 6.3705 6.3705 7.0151 Å, 99.62 99.62 118.09°
With the nearest neighbours (Å) after each atom.
Fractional positions:
Na 0.0000 0.0000 0.0000  6 S 2.88-2.92
Na 0.3355 0.6645 0.0000  6 S 2.83-2.90
Na 0.6645 0.3355 0.0000  6 S 2.83-2.90
Zr 0.5000 0.5000 0.5000  6 S 2.56-2.64
Mn 0.1701 0.8299 0.5000  6 S 2.47-2.69
Mn 0.8299 0.1701 0.5000  6 S 2.47-2.69
S 0.0997 0.4413 0.2831  2 Mn 2.47-2.69, 1 Zr 2.56
S 0.2243 0.2243 0.7023  2 Mn 2.50, 1 Zr 2.64
S 0.4413 0.0997 0.2831  2 Mn 2.47-2.69, 1 Zr 2.56
S 0.5587 0.9003 0.7169  2 Mn 2.47-2.69, 1 Zr 2.56
S 0.7757 0.7757 0.2977  2 Mn 2.50, 1 Zr 2.64
S 0.9003 0.5587 0.7169  2 Mn 2.47-2.69, 1 Zr 2.56

Calculated values
- Spin magnetization: 9.00 μB per formula unit
- Formation energy (no corrections): -1.066 eV per atom
- Space group: C2/m

No. 4
A plane-wave DFT calculation with PBE was carried out for K2RbReCl8 after structural relaxation.

Cell: 6.0336 9.8031 7.0983 Å, 90.00 107.67 90.00°
With the nearest neighbours (Å) after each atom.
Fractional positions:
K 0.0000 0.2466 0.0000  4 Cl 3.04-3.25
K 0.0000 0.7534 0.0000  4 Cl 3.04-3.25
Rb 0.5000 0.0000 0.5000  8 Cl 3.30-3.68
Re 0.5000 0.5000 0.5000  6 Cl 2.34-2.35
Cl 0.0563 0.0000 0.7593  2 K 3.04, 1 Rb 3.30
Cl 0.1086 0.5000 0.3098  1 Re 2.34
Cl 0.4282 0.3290 0.7069  1 Re 2.35
Cl 0.4282 0.6710 0.7069  1 Re 2.35
Cl 0.5718 0.3290 0.2931  1 Re 2.35
Cl 0.5718 0.6710 0.2931  1 Re 2.35
Cl 0.8914 0.5000 0.6902  1 Re 2.34
Cl 0.9437 0.0000 0.2407  2 K 3.04, 1 Rb 3.30

Calculated values
- Spin magnetization: 2.66 μB per formula unit
- Formation energy (no corrections): -1.230 eV per atom
- Space group: P2/m

No. 5
A plane-wave DFT calculation with PBE was carried out for ErCu2F6 after structural relaxation.

Cell: 5.8708 5.8708 7.1678 Å, 124.32 124.32 39.23°
With the nearest neighbours (Å) after each atom.
Fractional positions:
Er 0.0000 0.0000 0.0000  8 F 2.19-2.34
Cu 0.1816 0.1816 0.6395  4 F 1.99-2.06
Cu 0.8184 0.8184 0.3605  4 F 1.99-2.06
F 0.0017 0.0017 0.3073  1 Cu 1.99, 1 Er 2.19
F 0.2543 0.2543 0.3216  2 Cu 2.06
F 0.3769 0.3769 0.9630  1 Cu 2.01
F 0.6231 0.6231 0.0370  1 Cu 2.01
F 0.7457 0.7457 0.6784  2 Cu 2.06
F 0.9983 0.9983 0.6927  1 Cu 1.99, 1 Er 2.19

Calculated values
- Spin magnetization: 1.00 μB per formula unit
- Formation energy (no corrections): -2.549 eV per atom
- Space group: C2/m

No. 6
A plane-wave DFT calculation with PBE was carried out for CeGaNi2Ge2 after structural relaxation.

Cell: 4.3717 4.3717 5.6842 Å, 90.00 90.00 90.00°
With the nearest neighbours (Å) after each atom.
Fractional positions:
Ce 0.0000 0.0000 0.0000  2 Ga 2.84
Ga 0.0000 0.0000 0.5000  4 Ni 2.19
Ni 0.0000 0.5000 0.5000  2 Ga 2.19
Ni 0.5000 0.0000 0.5000  2 Ga 2.19
Ge 0.5000 0.5000 0.2397  4 Ni 2.64, 1 Ge 2.72
Ge 0.5000 0.5000 0.7603  4 Ni 2.64, 1 Ge 2.72

Calculated values
- Energy of formation from the pure elements: -1.31 eV/f.u.
- Spin magnetization: 1.11 μB per formula unit
- Space group: P4/mmm

The lowest spin magnetization belongs to which entry?
Ca2ScGaAu6

Among the records above, which one has the highest spin magnetization?
Na3ZrMn2S6

Which formula does entry 3 have?
Na3ZrMn2S6

Which of these has the lowest spin magnetization?
Ca2ScGaAu6